Entry 1:
A geometry-optimized Hf2HgBiIr structure, computed with GGA-PBE.

Cell lengths 5.159, 5.159, 5.354 Å; angles 90.00, 90.00, 90.00 degrees
Space group P4/mmm (No. 123)
Asymmetric unit:
Hf 0.000 0.500 0.000 x2
Hg 0.000 0.000 0.000 x1
Bi 0.000 0.000 0.500 x1
Ir 0.500 0.500 0.500 x1

For the size of the total moment, the calculation gives 0.0 μB per cell. The value obtained for the formation energy is 1621.8 meV per atom. Its density is 11.2 g/cm³. The total energy is -24.8 eV per cell.

Entry 2:
A geometry-optimized KHfHgBi2 structure, computed with GGA-PBE.

Cell lengths 5.665, 5.665, 5.784 Å; angles 90.00, 90.00, 90.00 degrees
Space group P4/mmm (No. 123)
Asymmetric unit:
K 0.000 0.000 0.000 x1
Hf 0.500 0.500 0.500 x1
Hg 0.500 0.500 0.000 x1
Bi 0.000 0.500 0.500 x2

For the size of the total moment, the calculation gives 0.0 μB per cell. The value obtained for the formation energy is -88.7 meV per atom. Its density is 7.5 g/cm³. The total energy is -19.6 eV per cell.

Entry 3:
A geometry-optimized KHfHgBi2 structure, computed with GGA-PBE.

Cell lengths 5.760, 5.760, 5.540 Å; angles 90.00, 90.00, 90.00 degrees
Space group P4/mmm (No. 123)
Asymmetric unit:
K 0.000 0.000 0.000 x1
Hf 0.500 0.500 0.000 x1
Hg 0.000 0.000 0.500 x1
Bi 0.000 0.500 0.500 x2

For the size of the total moment, the calculation gives 1.2 μB per cell. The value obtained for the formation energy is 904.3 meV per atom. Its density is 7.6 g/cm³. The total energy is -14.6 eV per cell.

Entry 4:
A geometry-optimized NaHfHg2Bi structure, computed with GGA-PBE.

Cell lengths 5.883, 5.883, 5.620 Å; angles 90.00, 90.00, 90.00 degrees
Space group P4/mmm (No. 123)
Asymmetric unit:
Na 0.000 0.000 0.000 x1
Hf 0.500 0.500 0.000 x1
Hg 0.000 0.500 0.500 x2
Bi 0.500 0.500 0.500 x1

For the size of the total moment, the calculation gives 0.0 μB per cell. The value obtained for the formation energy is 726.5 meV per atom. Its density is 6.9 g/cm³. The total energy is -12.1 eV per cell.

Entry 5:
A geometry-optimized HfHg2BiRu structure, computed with GGA-PBE.

Cell lengths 5.430, 5.430, 5.541 Å; angles 90.00, 90.00, 90.00 degrees
Space group P4/mmm (No. 123)
Asymmetric unit:
Hf 0.000 0.000 0.000 x1
Hg 0.000 0.500 0.500 x2
Bi 0.000 0.000 0.500 x1
Ru 0.500 0.500 0.000 x1

For the size of the total moment, the calculation gives 0.1 μB per cell. The value obtained for the formation energy is 1796.4 meV per atom. Its density is 9.0 g/cm³. The total energy is -14.7 eV per cell.

Entry 6:
A geometry-optimized HfTlHgBi2 structure, computed with GGA-PBE.

Cell lengths 5.689, 5.689, 5.393 Å; angles 90.00, 90.00, 90.00 degrees
Space group P4/mmm (No. 123)
Asymmetric unit:
Hf 0.000 0.000 0.000 x1
Tl 0.500 0.500 0.000 x1
Hg 0.500 0.500 0.500 x1
Bi 0.000 0.500 0.500 x2

For the size of the total moment, the calculation gives 0.0 μB per cell. The value obtained for the formation energy is 984.5 meV per atom. Its density is 9.5 g/cm³. The total energy is -15.5 eV per cell.

Entry 7:
A geometry-optimized HfTl2HgBi structure, computed with GGA-PBE.

Cell lengths 5.852, 5.852, 5.642 Å; angles 90.00, 90.00, 90.00 degrees
Space group P4/mmm (No. 123)
Asymmetric unit:
Hf 0.000 0.000 0.000 x1
Tl 0.000 0.500 0.500 x2
Hg 0.500 0.500 0.000 x1
Bi 0.500 0.500 0.500 x1

For the size of the total moment, the calculation gives 1.2 μB per cell. The value obtained for the formation energy is 1162.6 meV per atom. Its density is 8.6 g/cm³. The total energy is -13.1 eV per cell.

Entry 8:
A geometry-optimized HfHgBiW2 structure, computed with GGA-PBE.

Cell lengths 4.932, 4.932, 5.469 Å; angles 90.00, 90.00, 90.00 degrees
Space group P4/mmm (No. 123)
Asymmetric unit:
Hf 0.000 0.000 0.000 x1
Hg 0.500 0.500 0.500 x1
Bi 0.000 0.000 0.500 x1
W 0.000 0.500 0.000 x2

For the size of the total moment, the calculation gives 0.0 μB per cell. The value obtained for the formation energy is 2069.1 meV per atom. Its density is 11.9 g/cm³. The total energy is -29.7 eV per cell.

The calculation returns the following V values, one per record and in order: 28.5 37.1 36.8 38.9 32.7 34.9 38.6 26.6 A^3/atom.